Entry 1:
DFT (GGA-PBE) results for B3Pt4Rh after structural relaxation.

a = 5.482 Å, b = 5.482 Å, c = 7.830 Å
α = 101.32°, β = 101.32°, γ = 62.72°
Fractional positions:
1 B 0.001 0.999 0.500
2 B 0.371 0.378 0.291
3 B 0.378 0.371 0.791
4 B 0.608 0.617 0.703
5 B 0.617 0.608 0.203
6 B 0.999 0.001 0.000
7 Pt 0.174 0.827 0.249
8 Pt 0.230 0.560 0.543
9 Pt 0.434 0.769 0.953
10 Pt 0.560 0.230 0.043
11 Pt 0.638 0.970 0.352
12 Pt 0.769 0.434 0.453
13 Pt 0.827 0.174 0.749
14 Pt 0.970 0.638 0.852
15 Rh 0.019 0.361 0.139
16 Rh 0.361 0.019 0.639

Summary:
density: 14.94 Mg/m³
SG: Cc (9)
ΔE_f: -0.2320 eV/atom

***

Entry 2:
DFT (GGA-PBE) results for PO2F2 after structural relaxation.

a = 5.450 Å, b = 5.450 Å, c = 5.125 Å
α = 90.00°, β = 90.00°, γ = 90.00°
Fractional positions:
1 P 0.000 0.000 0.000
2 P 0.500 0.500 0.000
3 O 0.080 0.420 0.500
4 O 0.420 0.920 0.500
5 O 0.580 0.080 0.500
6 O 0.920 0.580 0.500
7 F 0.208 0.708 0.000
8 F 0.292 0.208 0.000
9 F 0.708 0.792 0.000
10 F 0.792 0.292 0.000

Summary:
density: 2.20 Mg/m³
SG: P4/mbm (127)
formation energy (no corrections): -0.69 eV/atom

***

Entry 3:
DFT (GGA-PBE) results for Mn2AgSb after structural relaxation.

a = 3.484 Å, b = 3.551 Å, c = 5.746 Å
α = 90.00°, β = 90.00°, γ = 90.00°
Fractional positions:
1 Mn 0.000 0.000 0.249
2 Mn 0.000 0.000 0.751
3 Ag 0.500 0.500 0.500
4 Sb 0.500 0.500 0.000

Summary:
density: 7.93 Mg/m³
SG: Pmmm (47)
formation energy (no corrections): 0.27 eV/atom

***

Entry 4:
DFT (GGA-PBE) results for ErZrNp2S4 after structural relaxation.

a = 6.561 Å, b = 3.866 Å, c = 6.692 Å
α = 90.00°, β = 109.88°, γ = 90.00°
Fractional positions:
1 Er 0.000 0.000 0.000
2 Zr 0.000 0.500 0.500
3 Np 0.500 0.000 0.500
4 Np 0.500 0.500 0.000
5 S 0.243 0.000 0.744
6 S 0.245 0.500 0.252
7 S 0.755 0.500 0.748
8 S 0.757 0.000 0.256

Summary:
density: 8.95 Mg/m³
SG: P2/m (10)
formation energy (no corrections): -1.55 eV/atom

***

Entry 5:
DFT (GGA-PBE) results for Mg2AlGa2Ir5 after structural relaxation.

a = 9.997 Å, b = 9.997 Å, c = 3.152 Å
α = 90.00°, β = 90.00°, γ = 90.00°
Fractional positions:
1 Mg 0.169 0.331 0.000
2 Mg 0.331 0.831 0.000
3 Mg 0.669 0.169 0.000
4 Mg 0.831 0.669 0.000
5 Al 0.000 0.000 0.000
6 Al 0.500 0.500 0.000
7 Ga 0.136 0.636 0.000
8 Ga 0.364 0.136 0.000
9 Ga 0.636 0.864 0.000
10 Ga 0.864 0.364 0.000
11 Ir 0.000 0.500 0.500
12 Ir 0.052 0.804 0.500
13 Ir 0.196 0.052 0.500
14 Ir 0.304 0.552 0.500
15 Ir 0.448 0.304 0.500
16 Ir 0.500 0.000 0.500
17 Ir 0.552 0.696 0.500
18 Ir 0.696 0.448 0.500
19 Ir 0.804 0.948 0.500
20 Ir 0.948 0.196 0.500

Summary:
density: 12.40 Mg/m³
SG: P4/mbm (127)
ΔE_f: -0.3496 eV/atom

***

Entry 6:
DFT (GGA-PBE) results for Al2Si2Pt after structural relaxation.

a = 7.745 Å, b = 7.745 Å, c = 7.745 Å
α = 155.32°, β = 155.32°, γ = 35.19°
Fractional positions:
1 Al 0.096 0.096 0.000
2 Al 0.904 0.904 0.000
3 Si 0.250 0.750 0.500
4 Si 0.750 0.250 0.500
5 Pt 0.500 0.500 0.000

Summary:
density: 6.26 Mg/m³
SG: I4/mmm (139)
formation energy (no corrections): -0.09 eV/atom

***

Number 1: E_tot -6.68 eV per atom. Number 2: E_tot -4.51 eV per atom. Number 3: E_tot -6.06 eV per atom. Number 4: E_tot -8.49 eV per atom. Number 5: E_tot -6.08 eV per atom. Number 6: E_tot -4.97 eV per atom.